# La4CdPd, optimized geometry, DFT PBEsol
# Calculated formation energy: -0.383 eV per atom
# Uncorrected energy: -493.4 eV for the cell shown
data_La4CdPd
_cell_length_a 14.128
_cell_length_b 14.128
_cell_length_c 14.128
_cell_angle_alpha 90.00
_cell_angle_beta 90.00
_cell_angle_gamma 90.00
_space_group_name_H-M_alt 'F -4 3 m'
_space_group_IT_number 216
_space_group_name_Hall 'F -4 2 3'
loop_
_atom_site_label
_atom_site_type_symbol
_atom_site_fract_x
_atom_site_fract_y
_atom_site_fract_z
La1 La 0.000 0.000 0.187
La2 La 0.054 0.250 0.750
La3 La 0.101 0.101 0.399
Cd1 Cd 0.171 0.171 0.171
Pd1 Pd 0.107 0.107 0.607